# 1
The following is a GGA-PBE calculation of an optimized crystal structure of ZrCdIn2, from Alexandria.

a b c (Å): 3.2741 3.2741 30.3993
angles (deg): 90.00 90.00 120.00
Space group R-3m (No. 166, hexagonal axes)
One atom of each set of equivalent atoms:
Zr: 0.0000 0.0000 0.0000
Cd: 0.0000 0.0000 0.5000
In: 0.0000 0.0000 0.2503

Computed properties:
Energy of formation, eV per formula unit: -0.23

=====

# 2
The following is a GGA-PBE calculation of an optimized crystal structure of MgSb2Rh, from Alexandria.

a b c (Å): 3.2115 3.2115 8.4420
angles (deg): 90.00 90.00 90.00
Space group P4mm (No. 99)
One atom of each set of equivalent atoms:
Mg: 0.0000 0.0000 0.0000
Sb: 0.0000 0.0000 0.3774
Sb: 0.5000 0.5000 0.7352
Rh: 0.5000 0.5000 0.1963

Computed properties:
Formation energy (no corrections), meV per atom: -290

=====

# 3
The following is a GGA-PBE calculation of an optimized crystal structure of RbCaBrCl2, from Alexandria.

a b c (Å): 5.4125 5.4125 5.7754
angles (deg): 90.00 90.00 90.00
Space group P4/mmm (No. 123)
One atom of each set of equivalent atoms:
Rb: 0.0000 0.0000 0.0000
Ca: 0.5000 0.5000 0.5000
Br: 0.5000 0.5000 0.0000
Cl: 0.0000 0.5000 0.5000

Computed properties:
Formation energy (no corrections), meV per atom: -2132

=====

# 4
The following is a GGA-PBE calculation of an optimized crystal structure of Ba6Ga2Bi, from Alexandria.

a b c (Å): 10.9658 12.0103 12.2617
angles (deg): 90.00 90.00 90.00
Space group Immm (No. 71)
One atom of each set of equivalent atoms:
Ba: 0.0000 0.1899 0.2374
Ba: 0.1849 0.5000 0.1664
Ba: 0.2250 0.3205 0.5000
Ga: 0.0000 0.3503 0.0000
Ga: 0.0000 0.5000 0.3942
Bi: 0.0000 0.0000 0.0000
Bi: 0.0000 0.0000 0.5000

Computed properties:
Energy of formation, eV per formula unit: -3.57

=====

# 5
The following is a GGA-PBE calculation of an optimized crystal structure of Ho6SiSb2Te3, from Alexandria.

a b c (Å): 18.9117 4.2987 8.6879
angles (deg): 90.00 103.50 90.00
Space group C2/m (No. 12)
One atom of each set of equivalent atoms:
Ho: 0.0006 0.0000 0.2213
Ho: 0.1529 0.5000 0.0810
Ho: 0.1672 0.5000 0.5767
Si: 0.0000 0.5000 0.0000
Sb: 0.1668 0.0000 0.3328
Te: 0.0000 0.5000 0.5000
Te: 0.1705 0.0000 0.8349

Computed properties:
Formation energy (no corrections), meV per atom: -1200